(1)
Below is a relaxed RbAsPt3 crystal, with properties calculated at the PBE-GGA level. Values from VASP.

Values from the calculation:
The volume comes out at 130 Å³ per cell. As for the uncorrected energy: -12.3 eV/cell. The energy relative to the lowest polymorph listed for this composition is 2100 meV per atom. As for the density of states at the Fermi level: 5.879 states/eV/cell. The space group is Pm-3m (221).

The structure in Quantum ESPRESSO input format:
```
&SYSTEM
  ibrav = 0, nat = 5, ntyp = 3
/
ATOMIC_SPECIES
As 74.92 As.upf
Rb 85.47 Rb.upf
Pt 195.08 Pt.upf
CELL_PARAMETERS angstrom
5.0664 0.0000 0.0000
0.0000 5.0664 0.0000
0.0000 0.0000 5.0664
ATOMIC_POSITIONS crystal
As 0.5000 0.5000 0.5000
Rb 0.0000 0.0000 0.0000
Pt 0.0000 0.5000 0.0000
Pt 0.0000 0.0000 0.5000
Pt 0.5000 0.0000 0.0000
```

(2)
Below is a relaxed Rb3As2Pt4 crystal, with properties calculated at the PBE-GGA level. Values from VASP.

Values from the calculation:
The volume comes out at 260 Å³ per cell. As for the uncorrected energy: -38.7 eV/cell. As for the density of states at the Fermi level: 4.671 states/eV/cell. The space group is C2/m (12).

The structure in Quantum ESPRESSO input format:
```
&SYSTEM
  ibrav = 0, nat = 9, ntyp = 3
/
ATOMIC_SPECIES
Rb 85.47 Rb.upf
As 74.92 As.upf
Pt 195.08 Pt.upf
CELL_PARAMETERS angstrom
-3.8851 -0.3949 -1.0613
0.5459 -2.4720 6.6366
-1.8417 8.5642 3.5553
ATOMIC_POSITIONS crystal
Rb 0.6624 0.3248 0.6736
Rb 0.0000 0.0000 0.0000
Rb 0.3376 0.6752 0.3264
As 0.6163 0.2325 0.2792
As 0.3837 0.7675 0.7208
Pt 0.7136 0.4271 0.0719
Pt 0.2864 0.5729 0.9281
Pt 0.9407 0.8815 0.6157
Pt 0.0593 0.1185 0.3843
```

(3)
Below is a relaxed Rb2AsPt2 crystal, with properties calculated at the PBE-GGA level. Values from VASP.

Values from the calculation:
The volume comes out at 271 Å³ per cell. As for the uncorrected energy: -40.0 eV/cell. The energy relative to the lowest polymorph listed for this composition is 0 meV per atom. As for the density of states at the Fermi level: 3.885 states/eV/cell. The space group is C2/c (15).

The structure in Quantum ESPRESSO input format:
```
&SYSTEM
  ibrav = 0, nat = 10, ntyp = 3
/
ATOMIC_SPECIES
Rb 85.47 Rb.upf
As 74.92 As.upf
Pt 195.08 Pt.upf
CELL_PARAMETERS angstrom
-1.2631 -2.8274 -5.1163
-3.0540 -4.9711 1.3147
-7.3060 3.2057 -0.9660
ATOMIC_POSITIONS crystal
Rb 0.4677 0.2453 0.1384
Rb 0.7547 0.5323 0.3616
Rb 0.5323 0.7547 0.8616
Rb 0.2453 0.4677 0.6384
As 0.0489 0.9511 0.2500
As 0.9511 0.0489 0.7500
Pt 0.7476 0.0086 0.5026
Pt 0.9914 0.2524 0.9974
Pt 0.2524 0.9914 0.4974
Pt 0.0086 0.7476 0.0026
```

(4)
Below is a relaxed RbAs3Pt3 crystal, with properties calculated at the PBE-GGA level. Values from VASP.

Values from the calculation:
The volume comes out at 340 Å³ per cell. As for the uncorrected energy: -70.9 eV/cell. The energy relative to the lowest polymorph listed for this composition is 52 meV per atom. As for the density of states at the Fermi level: 14.247 states/eV/cell. The space group is Pm-3n (223).

The structure in Quantum ESPRESSO input format:
```
&SYSTEM
  ibrav = 0, nat = 14, ntyp = 3
/
ATOMIC_SPECIES
As 74.92 As.upf
Rb 85.47 Rb.upf
Pt 195.08 Pt.upf
CELL_PARAMETERS angstrom
-2.5404 -2.0412 6.1725
6.3326 -2.2766 1.8535
1.4712 6.2746 2.6804
ATOMIC_POSITIONS crystal
As 0.0000 0.2500 0.5000
As 0.0000 0.7500 0.5000
As 0.5000 0.0000 0.7500
As 0.7500 0.5000 0.0000
As 0.5000 0.0000 0.2500
As 0.2500 0.5000 0.0000
Rb 0.5000 0.5000 0.5000
Rb 0.0000 0.0000 0.0000
Pt 0.2500 0.0000 0.5000
Pt 0.0000 0.5000 0.2500
Pt 0.5000 0.7500 0.0000
Pt 0.7500 0.0000 0.5000
Pt 0.0000 0.5000 0.7500
Pt 0.5000 0.2500 0.0000
```

no.,formation enthalpy at 0 K (eV per atom)
1,2.30
2,-0.26
3,-0.27
4,-0.34